Density functional theory data (meta-GGA SCAN) for a crystal of CoWAu2 relaxed with PBEsol.

a b c (Å): 4.724 4.724 4.724
angles (deg): 130.96 130.96 71.87
Fractional positions:
Co 0.000 0.000 0.000
W 0.750 0.250 0.500
Au 0.250 0.750 0.500
Au 0.500 0.500 0.000

Calculated values
Its space group is I-4m2. Its energy above the most stable polymorph in this dataset is 0.0 meV per atom. The calculation puts the calculated formation energy at 155 kJ/mol of formula units.

***

Density functional theory data (meta-GGA SCAN) for a crystal of Ni8As relaxed with PBEsol.

a b c (Å): 5.501 5.501 5.501
angles (deg): 95.87 95.87 142.71
Fractional positions:
Ni 0.000 0.335 0.335
Ni 0.000 0.665 0.665
Ni 0.332 0.332 0.665
Ni 0.332 0.668 0.000
Ni 0.335 0.000 0.335
Ni 0.665 0.000 0.665
Ni 0.668 0.332 0.000
Ni 0.668 0.668 0.335
As 0.000 0.000 0.000

Calculated values
Its space group is I4/mmm. The calculation puts the calculated formation energy at -54 kJ/mol of formula units.

***

Density functional theory data (meta-GGA SCAN) for a crystal of Cs2RhF6 relaxed with PBEsol.

a b c (Å): 6.128 6.128 4.985
angles (deg): 90.00 90.00 120.00
Fractional positions:
Cs 0.333 0.667 0.292
Cs 0.667 0.333 0.708
Rh 0.000 0.000 0.000
F 0.151 0.301 0.786
F 0.151 0.849 0.786
F 0.301 0.151 0.214
F 0.699 0.849 0.786
F 0.849 0.151 0.214
F 0.849 0.699 0.214

Calculated values
Its space group is P-3m1. Its uncorrected formation energy is -2122 kJ/mol of formula units.

***

Density functional theory data (meta-GGA SCAN) for a crystal of HfCrGe3 relaxed with PBEsol.

a b c (Å): 4.532 4.532 4.532
angles (deg): 90.00 90.00 90.00
Fractional positions:
Hf 0.000 0.000 0.000
Cr 0.500 0.500 0.500
Ge 0.000 0.500 0.500
Ge 0.500 0.000 0.500
Ge 0.500 0.500 0.000

Calculated values
Its space group is Pm-3m. The calculation puts the calculated formation energy at 236 kJ/mol of formula units.